Entry 1:
The following is a PBE calculation of a relaxed SrLi2SmHg4 crystal, from Alexandria.

Lattice parameters (Å, degrees): 5.1022 5.1022 9.3972 74.25 74.25 60.00
Fractional coordinates of all 8 atoms:
Li  0.7567  0.7567  0.7298
Li  0.2433  0.2433  0.2702
Hg  0.3856  0.3856  0.8433
Hg  0.8751  0.8751  0.3748
Hg  0.1249  0.1249  0.6252
Hg  0.6144  0.6144  0.1567
Sm  0.5000  0.5000  0.5000
Sr  0.0000  0.0000  0.0000

Computed properties:
density of states at the Fermi level = 0.572 states/eV per atom
energy = -1.848 eV/atom
calculated density = 8.70 Mg/m³
energy of formation from the pure elements = -40.4 kJ/mol of atoms
space group = No. 166

***

Entry 2:
The following is a PBE calculation of a relaxed SrLiSmHg crystal, from Alexandria.

Lattice parameters (Å, degrees): 5.4944 5.4944 5.4944 60.00 60.00 60.00
Fractional coordinates of all 4 atoms:
Sr  0.0000  0.0000  0.0000
Hg  0.7500  0.7500  0.7500
Li  0.2500  0.2500  0.2500
Sm  0.5000  0.5000  0.5000

Computed properties:
density of states at the Fermi level = 0.740 states/eV per atom
energy = -2.343 eV/atom
calculated density = 6.31 Mg/m³
energy of formation from the pure elements = -18.2 kJ/mol of atoms
space group = No. 216

***

Entry 3:
The following is a PBE calculation of a relaxed SrLiSm2Hg4 crystal, from Alexandria.

Lattice parameters (Å, degrees): 5.2572 5.2572 9.4833 73.91 73.91 60.00
Fractional coordinates of all 8 atoms:
Hg  0.1264  0.1264  0.6209
Hg  0.3895  0.3895  0.8315
Hg  0.8736  0.8736  0.3791
Hg  0.6105  0.6105  0.1685
Sm  0.7579  0.7579  0.7263
Sm  0.2421  0.2421  0.2737
Sr  0.0000  0.0000  0.0000
Li  0.5000  0.5000  0.5000

Computed properties:
density of states at the Fermi level = 0.579 states/eV per atom
energy = -2.218 eV/atom
calculated density = 9.25 Mg/m³
energy of formation from the pure elements = -42.2 kJ/mol of atoms
space group = No. 166

***

Entry 4:
The following is a PBE calculation of a relaxed LiTbSmHg crystal, from Alexandria.

Lattice parameters (Å, degrees): 5.2857 5.2857 5.2857 60.00 60.00 60.00
Last column: magnetic moment on the atom in μB.
Fractional coordinates of all 4 atoms:
Tb  0.7500  0.7500  0.7500  0.07
Sm  0.2500  0.2500  0.2500  0.06
Li  0.0000  0.0000  0.0000  0.01
Hg  0.5000  0.5000  0.5000  0.01

Computed properties:
density of states at the Fermi level = 1.268 states/eV per atom
energy = -3.098 eV/atom
calculated density = 8.22 Mg/m³
energy of formation from the pure elements = -19.9 kJ/mol of atoms
space group = No. 216

***

Entry 5:
The following is a PBE calculation of a relaxed LiSm2TlHg4 crystal, from Alexandria.

Lattice parameters (Å, degrees): 5.1817 5.1817 8.9112 73.10 73.10 60.00
Fractional coordinates of all 8 atoms:
Hg  0.8672  0.8672  0.3983
Hg  0.6149  0.6149  0.1553
Hg  0.1328  0.1328  0.6017
Hg  0.3851  0.3851  0.8447
Sm  0.2549  0.2549  0.2354
Sm  0.7451  0.7451  0.7646
Li  0.5000  0.5000  0.5000
Tl  0.0000  0.0000  0.0000

Computed properties:
density of states at the Fermi level = 0.434 states/eV per atom
energy = -2.275 eV/atom
calculated density = 11.18 Mg/m³
energy of formation from the pure elements = -39.4 kJ/mol of atoms
space group = No. 166

***

Entry 6:
The following is a PBE calculation of a relaxed Li2SmTmHg4 crystal, from Alexandria.

Lattice parameters (Å, degrees): 5.0292 5.0292 8.7574 73.31 73.31 60.00
Fractional coordinates of all 8 atoms:
Hg  0.3779  0.3779  0.8662
Hg  0.6221  0.6221  0.1338
Hg  0.8727  0.8727  0.3818
Hg  0.1273  0.1273  0.6182
Li  0.7515  0.7515  0.7454
Li  0.2485  0.2485  0.2546
Sm  0.0000  0.0000  0.0000
Tm  0.5000  0.5000  0.5000

Computed properties:
density of states at the Fermi level = 0.714 states/eV per atom
energy = -2.213 eV/atom
calculated density = 10.42 Mg/m³
energy of formation from the pure elements = -41.9 kJ/mol of atoms
space group = No. 166

***

Entry 7:
The following is a PBE calculation of a relaxed LiSm2YHg4 crystal, from Alexandria.

Lattice parameters (Å, degrees): 5.2141 5.2141 9.1287 73.41 73.41 60.00
Fractional coordinates of all 8 atoms:
Li  0.5000  0.5000  0.5000
Hg  0.1253  0.1253  0.6240
Hg  0.6247  0.6247  0.1258
Hg  0.3753  0.3753  0.8742
Hg  0.8747  0.8747  0.3760
Sm  0.7545  0.7545  0.7365
Sm  0.2455  0.2455  0.2635
Y  0.0000  0.0000  0.0000

Computed properties:
density of states at the Fermi level = 0.938 states/eV per atom
energy = -2.842 eV/atom
calculated density = 9.81 Mg/m³
energy of formation from the pure elements = -44.8 kJ/mol of atoms
space group = No. 166

***

Entry 8:
The following is a PBE calculation of a relaxed Li2SmZnHg4 crystal, from Alexandria.

Lattice parameters (Å, degrees): 4.6743 4.6743 9.4259 75.64 75.64 60.00
Fractional coordinates of all 8 atoms:
Hg  0.8753  0.8753  0.3741
Hg  0.3918  0.3918  0.8247
Hg  0.1247  0.1247  0.6259
Hg  0.6082  0.6082  0.1753
Li  0.7663  0.7663  0.7011
Li  0.2337  0.2337  0.2989
Sm  0.0000  0.0000  0.0000
Zn  0.5000  0.5000  0.5000

Computed properties:
density of states at the Fermi level = 0.399 states/eV per atom
energy = -1.683 eV/atom
calculated density = 10.03 Mg/m³
energy of formation from the pure elements = -29.4 kJ/mol of atoms
space group = No. 166

***

Entry 9:
The following is a PBE calculation of a relaxed Li4Sn3Hg4 crystal, from Alexandria.

Lattice parameters (Å, degrees): 3.3201 9.0546 9.3847 118.84 100.19 90.00
Fractional coordinates of all 11 atoms:
Hg  0.3364  0.1441  0.6727
Hg  0.3364  0.5286  0.6727
Hg  0.6636  0.8559  0.3273
Hg  0.6636  0.4714  0.3273
Li  0.2593  0.7593  0.5186
Li  0.7407  0.2407  0.4814
Li  0.5000  0.2238  0.0000
Li  0.5000  0.7762  0.0000
Sn  0.9090  0.9090  0.8180
Sn  0.0910  0.0910  0.1820
Sn  0.0000  0.5000  0.0000

Computed properties:
density of states at the Fermi level = 0.293 states/eV per atom
polymorph energy (0 for the lowest one) = 0.0 kJ per mole of atoms
energy = -2.095 eV/atom
calculated density = 8.14 Mg/m³
energy of formation from the pure elements = -19.1 kJ/mol of atoms
space group = No. 71

***

Entry 10:
The following is a PBE calculation of a relaxed LiSnHg2 crystal, from Alexandria.

Lattice parameters (Å, degrees): 4.6557 4.6557 5.7434 66.09 66.09 60.00
Fractional coordinates of all 4 atoms:
Hg  0.0560  0.0560  0.8319
Hg  0.2691  0.2691  0.1927
Sn  0.4882  0.4882  0.5355
Li  0.6867  0.6867  0.9398

Computed properties:
density of states at the Fermi level = 0.310 states/eV per atom
energy = -1.746 eV/atom
calculated density = 9.18 Mg/m³
energy of formation from the pure elements = -11.2 kJ/mol of atoms
space group = No. 160

***

Entry 11:
The following is a PBE calculation of a relaxed Li6SnHg crystal, from Alexandria.

Lattice parameters (Å, degrees): 4.8136 5.9122 5.9122 119.92 90.00 90.00
Fractional coordinates of all 8 atoms:
Li  0.5000  0.9182  0.0818
Li  0.5000  0.9181  0.5865
Li  0.5000  0.4135  0.0819
Li  0.0000  0.5753  0.9001
Li  0.0000  0.5748  0.4252
Li  0.0000  0.0999  0.4247
Sn  0.5000  0.4164  0.5836
Hg  0.0000  0.0836  0.9164

Computed properties:
density of states at the Fermi level = 0.407 states/eV per atom
polymorph energy (0 for the lowest one) = 3.0 kJ per mole of atoms
energy = -2.282 eV/atom
calculated density = 4.11 Mg/m³
energy of formation from the pure elements = -29.8 kJ/mol of atoms
space group = No. 38

***

Entry 12:
The following is a PBE calculation of a relaxed LiSn2Hg crystal, from Alexandria.

Lattice parameters (Å, degrees): 4.7251 4.8569 5.7521 61.44 65.75 60.89
Fractional coordinates of all 4 atoms:
Hg  0.4512  0.2259  0.8717
Li  0.1456  0.9072  0.8016
Sn  0.9289  0.6774  0.4648
Sn  0.6846  0.4514  0.1794

Computed properties:
density of states at the Fermi level = 0.351 states/eV per atom
energy = -2.672 eV/atom
calculated density = 7.50 Mg/m³
energy of formation from the pure elements = -11.3 kJ/mol of atoms
space group = No. 8

***

Entry 13:
The following is a PBE calculation of a relaxed Li2Sn4Hg crystal, from Alexandria.

Lattice parameters (Å, degrees): 9.8109 6.3339 6.3580 119.87 90.00 90.00
Fractional coordinates of all 14 atoms:
Li  0.5000  0.2364  0.4729
Li  0.0000  0.2636  0.5271
Li  0.0000  0.7364  0.4729
Li  0.5000  0.7636  0.5271
Sn  0.1696  0.5002  0.0000
Sn  0.7500  0.4999  0.5000
Sn  0.8304  0.4998  0.0000
Sn  0.7500  0.9999  0.5000
Sn  0.2500  0.0001  0.5000
Sn  0.6696  0.9998  0.0000
Sn  0.2500  0.5001  0.5000
Sn  0.3304  0.0002  0.0000
Hg  0.5000  0.5000  0.0000
Hg  0.0000  0.0000  0.0000

Computed properties:
density of states at the Fermi level = 0.281 states/eV per atom
energy = -2.989 eV/atom
calculated density = 6.68 Mg/m³
energy of formation from the pure elements = -10.8 kJ/mol of atoms
space group = No. 69

***

Entry 14:
The following is a PBE calculation of a relaxed Li3SnHg2 crystal, from Alexandria.

Lattice parameters (Å, degrees): 3.3695 3.3695 9.9999 90.00 90.00 90.00
Fractional coordinates of all 6 atoms:
Li  0.0000  0.0000  0.3241
Li  0.0000  0.0000  0.0000
Li  0.0000  0.0000  0.6759
Hg  0.5000  0.5000  0.8374
Hg  0.5000  0.5000  0.1626
Sn  0.5000  0.5000  0.5000

Computed properties:
density of states at the Fermi level = 0.216 states/eV per atom
energy = -2.089 eV/atom
calculated density = 7.91 Mg/m³
energy of formation from the pure elements = -35.1 kJ/mol of atoms
space group = No. 123

***

Entry 15:
The following is a PBE calculation of a relaxed LiSn3Hg3 crystal, from Alexandria.

Lattice parameters (Å, degrees): 8.0319 8.0319 8.0319 90.00 90.00 90.00
Fractional coordinates of all 14 atoms:
Li  0.0000  0.0000  0.0000
Li  0.5000  0.5000  0.5000
Hg  0.7500  0.5000  0.0000
Hg  0.5000  0.0000  0.7500
Hg  0.2500  0.5000  0.0000
Hg  0.0000  0.7500  0.5000
Hg  0.5000  0.0000  0.2500
Hg  0.0000  0.2500  0.5000
Sn  0.5000  0.7500  0.0000
Sn  0.7500  0.0000  0.5000
Sn  0.5000  0.2500  0.0000
Sn  0.0000  0.5000  0.7500
Sn  0.0000  0.5000  0.2500
Sn  0.2500  0.0000  0.5000

Computed properties:
density of states at the Fermi level = 0.548 states/eV per atom
energy = -1.843 eV/atom
calculated density = 6.18 Mg/m³
energy of formation from the pure elements = 26.5 kJ/mol of atoms
space group = No. 223

***

Entry 16:
The following is a PBE calculation of a relaxed Li2SnHg2 crystal, from Alexandria.

Lattice parameters (Å, degrees): 7.8137 7.8137 3.3852 90.00 90.00 90.00
Fractional coordinates of all 10 atoms:
Sn  0.0000  0.0000  0.0000
Sn  0.5000  0.5000  0.0000
Hg  0.8501  0.3501  0.5000
Hg  0.6499  0.8501  0.5000
Hg  0.3501  0.1499  0.5000
Hg  0.1499  0.6499  0.5000
Li  0.1406  0.3594  0.0000
Li  0.8594  0.6406  0.0000
Li  0.6406  0.1406  0.0000
Li  0.3594  0.8594  0.0000

Computed properties:
density of states at the Fermi level = 0.289 states/eV per atom
polymorph energy (0 for the lowest one) = 4.7 kJ per mole of atoms
energy = -1.928 eV/atom
calculated density = 8.58 Mg/m³
energy of formation from the pure elements = -23.3 kJ/mol of atoms
space group = No. 127

***

Entry 17:
The following is a PBE calculation of a relaxed Li4SnHg7 crystal, from Alexandria.

Lattice parameters (Å, degrees): 6.0676 8.2407 6.9374 72.19 64.07 68.40
Fractional coordinates of all 12 atoms:
Hg  0.7441  0.0136  0.4982
Hg  0.0091  0.6563  0.3256
Hg  0.9909  0.3437  0.6744
Hg  0.7287  0.3747  0.1679
Hg  0.2559  0.9864  0.5018
Hg  0.2713  0.6253  0.8321
Hg  0.5000  0.0000  0.0000
Li  0.2411  0.3183  0.1995
Li  0.5078  0.3207  0.6637
Li  0.4922  0.6793  0.3363
Li  0.7589  0.6817  0.8005
Sn  0.0000  0.0000  0.0000

Computed properties:
density of states at the Fermi level = 0.377 states/eV per atom
energy = -1.296 eV/atom
calculated density = 9.01 Mg/m³
energy of formation from the pure elements = -14.4 kJ/mol of atoms
space group = No. 12

***

Entry 18:
The following is a PBE calculation of a relaxed Li7Sn3Hg2 crystal, from Alexandria.

Lattice parameters (Å, degrees): 4.7458 4.7449 11.0036 102.45 90.00 90.00
Fractional coordinates of all 12 atoms:
Li  0.0000  0.0000  0.0000
Li  0.5000  0.0739  0.1479
Li  0.0000  0.4244  0.8488
Li  0.0000  0.5756  0.1512
Li  0.5000  0.9261  0.8521
Li  0.0000  0.7201  0.4403
Li  0.0000  0.2799  0.5597
Hg  0.0000  0.8527  0.7054
Hg  0.0000  0.1473  0.2946
Sn  0.5000  0.6560  0.3120
Sn  0.5000  0.3440  0.6880
Sn  0.5000  0.5000  0.0000

Computed properties:
density of states at the Fermi level = 0.354 states/eV per atom
energy = -2.401 eV/atom
calculated density = 5.53 Mg/m³
energy of formation from the pure elements = -22.5 kJ/mol of atoms
space group = No. 65

***

Entry 19:
The following is a PBE calculation of a relaxed LiSnHg2 crystal, from Alexandria.

Lattice parameters (Å, degrees): 4.3060 4.5752 4.5752 90.00 90.00 90.00
Fractional coordinates of all 4 atoms:
Li  0.5000  0.5000  0.5000
Sn  0.5000  0.0000  0.0000
Hg  0.0000  0.5000  0.0000
Hg  0.0000  0.0000  0.5000

Computed properties:
density of states at the Fermi level = 0.639 states/eV per atom
energy = -1.774 eV/atom
calculated density = 9.71 Mg/m³
energy of formation from the pure elements = -13.9 kJ/mol of atoms
space group = No. 123

***

Entry 20:
The following is a PBE calculation of a relaxed LiSn2Hg crystal, from Alexandria.

Lattice parameters (Å, degrees): 4.5502 4.5602 4.5602 90.00 90.00 90.00
Fractional coordinates of all 4 atoms:
Li  0.5000  0.0000  0.0000
Hg  0.5000  0.5000  0.5000
Sn  0.0000  0.0000  0.5000
Sn  0.0000  0.5000  0.0000

Computed properties:
density of states at the Fermi level = 0.342 states/eV per atom
energy = -2.688 eV/atom
calculated density = 7.81 Mg/m³
energy of formation from the pure elements = -12.8 kJ/mol of atoms
space group = No. 123